Entry 1:
# PBE TlFeSb2, optimized geometry
# - excess energy over the best structure of this formula in the dataset (eV per atom) = 0.213
# - total magnetic moment (μB per formula unit) = 2.05
# - E_form (uncorrected) (eV per atom) = 0.33
# - calculated volume (Å³/cell) = 99
data_TlFeSb2
_chemical_formula_sum 'Tl1 Fe1 Sb2'
_cell_length_a 3.5359
_cell_length_b 3.5359
_cell_length_c 7.9153
_cell_angle_alpha 90.00
_cell_angle_beta 90.00
_cell_angle_gamma 90.00
_space_group_name_H-M_alt 'P 4 m m'
_space_group_IT_number 99
loop_
_space_group_symop_operation_xyz
'x,y,z'
'-y,x,z'
'-x,-y,z'
'y,-x,z'
'-x,y,z'
'y,x,z'
'x,-y,z'
'-y,-x,z'
loop_
_atom_site_label
_atom_site_type_symbol
_atom_site_fract_x
_atom_site_fract_y
_atom_site_fract_z
Tl1 Tl 0.0000 0.0000 0.0000
Fe1 Fe 0.5000 0.5000 0.3098
Sb1 Sb 0.0000 0.0000 0.4092
Sb2 Sb 0.5000 0.5000 0.6706

Entry 2:
# PBE Tm6Fe2Sb, optimized geometry
# - total magnetic moment (μB per formula unit) = 0.48
# - E_form (uncorrected) (eV per atom) = -0.30
# - calculated volume (Å³/cell) = 873
data_Tm6Fe2Sb
_chemical_formula_sum 'Tm24 Fe8 Sb4'
_cell_length_a 9.4069
_cell_length_b 9.4186
_cell_length_c 9.8509
_cell_angle_alpha 90.00
_cell_angle_beta 90.00
_cell_angle_gamma 90.00
_space_group_name_H-M_alt 'I m m m'
_space_group_IT_number 71
_space_group_name_Hall '-I 2 2'
loop_
_atom_site_label
_atom_site_type_symbol
_atom_site_fract_x
_atom_site_fract_y
_atom_site_fract_z
Tm1 Tm 0.0000 0.2187 0.2329
Tm2 Tm 0.1975 0.5000 0.1847
Tm3 Tm 0.2159 0.3141 0.5000
Fe1 Fe 0.0000 0.3849 0.0000
Fe2 Fe 0.0000 0.5000 0.3909
Sb1 Sb 0.0000 0.0000 0.0000
Sb2 Sb 0.0000 0.0000 0.5000

Entry 3:
# PBE TmFe4Sb12, optimized geometry
# - total magnetic moment (μB per formula unit) = 1.11
# - E_form (uncorrected) (eV per atom) = -0.14
# - calculated volume (Å³/cell) = 769
data_TmFe4Sb12
_chemical_formula_sum 'Tm2 Fe8 Sb24'
_cell_length_a 9.1617
_cell_length_b 9.1617
_cell_length_c 9.1617
_cell_angle_alpha 90.00
_cell_angle_beta 90.00
_cell_angle_gamma 90.00
_space_group_name_H-M_alt 'I m -3'
_space_group_IT_number 204
_space_group_name_Hall '-I 2 2 3'
loop_
_atom_site_label
_atom_site_type_symbol
_atom_site_fract_x
_atom_site_fract_y
_atom_site_fract_z
Tm1 Tm 0.0000 0.0000 0.0000
Fe1 Fe 0.2500 0.2500 0.2500
Sb1 Sb 0.0000 0.3323 0.1615

Entry 4:
# PBE Tm4FeSb, optimized geometry
# - total magnetic moment (μB per formula unit) = 0.00
# - E_form (uncorrected) (eV per atom) = -0.42
# - calculated volume (Å³/cell) = 616
data_Tm4FeSb
_chemical_formula_sum 'Tm16 Fe4 Sb4'
_cell_length_a 8.6498
_cell_length_b 12.9727
_cell_length_c 5.9248
_cell_angle_alpha 90.00
_cell_angle_beta 112.01
_cell_angle_gamma 90.00
_space_group_name_H-M_alt 'C 1 2/c 1'
_space_group_IT_number 15
loop_
_space_group_symop_operation_xyz
'x,y,z'
'-x,-y,-z'
'-x,y,-z+1/2'
'x,-y,z+1/2'
'x+1/2,y+1/2,z'
'-x+1/2,-y+1/2,-z'
'-x+1/2,y+1/2,-z+1/2'
'x+1/2,-y+1/2,z+1/2'
loop_
_atom_site_label
_atom_site_type_symbol
_atom_site_fract_x
_atom_site_fract_y
_atom_site_fract_z
Tm1 Tm 0.1075 0.1642 0.0606
Tm2 Tm 0.2229 0.4284 0.3580
Fe1 Fe 0.0000 0.9996 0.2500
Sb1 Sb 0.0000 0.3725 0.7500

Entry 5:
# PBE Tm5FeSb2, optimized geometry
# - total magnetic moment (μB per formula unit) = 0.00
# - E_form (uncorrected) (eV per atom) = -0.19
# - calculated volume (Å³/cell) = 1141
data_Tm5FeSb2
_chemical_formula_sum 'Tm20 Fe4 Sb8'
_cell_length_a 5.3396
_cell_length_b 15.3256
_cell_length_c 13.9441
_cell_angle_alpha 90.00
_cell_angle_beta 90.00
_cell_angle_gamma 90.00
_space_group_name_H-M_alt 'C m c m'
_space_group_IT_number 63
_space_group_name_Hall '-C 2c 2'
loop_
_atom_site_label
_atom_site_type_symbol
_atom_site_fract_x
_atom_site_fract_y
_atom_site_fract_z
Tm1 Tm 0.0000 0.0523 0.1245
Tm2 Tm 0.0000 0.2747 0.1080
Tm3 Tm 0.0000 0.3039 0.7500
Fe1 Fe 0.0000 0.1685 0.2500
Sb1 Sb 0.0000 0.1435 0.5709

Entry 6:
# PBE TmFeSb, optimized geometry
# - total magnetic moment (μB per formula unit) = 1.93
# - E_form (uncorrected) (eV per atom) = 0.19
# - calculated volume (Å³/cell) = 323
data_TmFeSb
_chemical_formula_sum 'Tm4 Fe4 Sb4'
_cell_length_a 7.3331
_cell_length_b 9.6720
_cell_length_c 4.5478
_cell_angle_alpha 90.00
_cell_angle_beta 90.00
_cell_angle_gamma 90.00
_space_group_name_H-M_alt 'C m m m'
_space_group_IT_number 65
_space_group_name_Hall '-C 2 2'
loop_
_atom_site_label
_atom_site_type_symbol
_atom_site_fract_x
_atom_site_fract_y
_atom_site_fract_z
Tm1 Tm 0.0000 0.1964 0.0000
Fe1 Fe 0.1571 0.5000 0.5000
Sb1 Sb 0.0000 0.0000 0.5000
Sb2 Sb 0.0000 0.5000 0.0000

Entry 7:
# PBE Tm6FeSb3, optimized geometry
# - total magnetic moment (μB per formula unit) = 0.00
# - E_form (uncorrected) (eV per atom) = -0.39
# - calculated volume (Å³/cell) = 1146
data_Tm6FeSb3
_chemical_formula_sum 'Tm24 Fe4 Sb12'
_cell_length_a 11.0873
_cell_length_b 14.0473
_cell_length_c 7.3562
_cell_angle_alpha 90.00
_cell_angle_beta 90.00
_cell_angle_gamma 90.00
_space_group_name_H-M_alt 'C m c 21'
_space_group_IT_number 36
loop_
_space_group_symop_operation_xyz
'x,y,z'
'-x,-y,z+1/2'
'-x,y,z'
'x,-y,z+1/2'
'x+1/2,y+1/2,z'
'-x+1/2,-y+1/2,z+1/2'
'-x+1/2,y+1/2,z'
'x+1/2,-y+1/2,z+1/2'
loop_
_atom_site_label
_atom_site_type_symbol
_atom_site_fract_x
_atom_site_fract_y
_atom_site_fract_z
Tm1 Tm 0.0000 0.0122 0.0000
Tm2 Tm 0.0000 0.2431 0.4700
Tm3 Tm 0.1503 0.2446 0.9254
Tm4 Tm 0.1678 0.4619 0.4353
Fe1 Fe 0.0000 0.1325 0.7436
Sb1 Sb 0.0000 0.3948 0.1306
Sb2 Sb 0.1822 0.1118 0.2526

Entry 8:
# PBE UFeSb, optimized geometry
# - total magnetic moment (μB per formula unit) = 0.86
# - E_form (uncorrected) (eV per atom) = 0.30
# - calculated volume (Å³/cell) = 144
data_UFeSb
_chemical_formula_sum 'U2 Fe2 Sb2'
_cell_length_a 4.3570
_cell_length_b 4.3570
_cell_length_c 7.5781
_cell_angle_alpha 90.00
_cell_angle_beta 90.00
_cell_angle_gamma 90.00
_space_group_name_H-M_alt 'I 4 m m'
_space_group_IT_number 107
_space_group_name_Hall 'I 4 -2'
loop_
_atom_site_label
_atom_site_type_symbol
_atom_site_fract_x
_atom_site_fract_y
_atom_site_fract_z
U1 U 0.0000 0.0000 0.0000
Fe1 Fe 0.0000 0.0000 0.2655
Sb1 Sb 0.0000 0.0000 0.6063

Entry 9:
# PBE UFe2Sb, optimized geometry
# - excess energy over the best structure of this formula in the dataset (eV per atom) = 0.000
# - total magnetic moment (μB per formula unit) = 0.72
# - E_form (uncorrected) (eV per atom) = -0.16
# - calculated volume (Å³/cell) = 223
data_UFe2Sb
_chemical_formula_sum 'U3 Fe6 Sb3'
_cell_length_a 4.6418
_cell_length_b 4.6418
_cell_length_c 11.9761
_cell_angle_alpha 90.00
_cell_angle_beta 90.00
_cell_angle_gamma 120.00
_space_group_name_H-M_alt 'R -3 m'
_space_group_IT_number 166
_space_group_name_Hall '-R 3 2"'
loop_
_atom_site_label
_atom_site_type_symbol
_atom_site_fract_x
_atom_site_fract_y
_atom_site_fract_z
U1 U 0.0000 0.0000 0.0000
Fe1 Fe 0.0000 0.0000 0.1794
Sb1 Sb 0.0000 0.0000 0.5000

Entry 10:
# PBE UFe2Sb, optimized geometry
# - excess energy over the best structure of this formula in the dataset (eV per atom) = 0.157
# - total magnetic moment (μB per formula unit) = 1.22
# - E_form (uncorrected) (eV per atom) = -0.01
# - calculated volume (Å³/cell) = 272
data_UFe2Sb
_chemical_formula_sum 'U4 Fe8 Sb4'
_cell_length_a 6.4817
_cell_length_b 6.4817
_cell_length_c 6.4817
_cell_angle_alpha 90.00
_cell_angle_beta 90.00
_cell_angle_gamma 90.00
_space_group_name_H-M_alt 'F m -3 m'
_space_group_IT_number 225
_space_group_name_Hall '-F 4 2 3'
loop_
_atom_site_label
_atom_site_type_symbol
_atom_site_fract_x
_atom_site_fract_y
_atom_site_fract_z
U1 U 0.0000 0.0000 0.0000
Fe1 Fe 0.2500 0.2500 0.2500
Sb1 Sb 0.0000 0.0000 0.5000

Entry 11:
# PBE UFeSb, optimized geometry
# - total magnetic moment (μB per formula unit) = 0.92
# - E_form (uncorrected) (eV per atom) = -0.11
# - calculated volume (Å³/cell) = 130
data_UFeSb
_chemical_formula_sum 'U2 Fe2 Sb2'
_cell_length_a 4.7918
_cell_length_b 4.7553
_cell_length_c 5.8362
_cell_angle_alpha 90.00
_cell_angle_beta 102.42
_cell_angle_gamma 90.00
_space_group_name_H-M_alt 'P 1 m 1'
_space_group_IT_number 6
loop_
_space_group_symop_operation_xyz
'x,y,z'
'x,-y,z'
loop_
_atom_site_label
_atom_site_type_symbol
_atom_site_fract_x
_atom_site_fract_y
_atom_site_fract_z
U1 U 0.0000 0.0000 0.0000
U2 U 0.4024 0.0000 0.5438
Fe1 Fe 0.4493 0.0000 0.0586
Fe2 Fe 0.8261 0.0000 0.4930
Sb1 Sb 0.5317 0.5000 0.9219
Sb2 Sb 0.9724 0.5000 0.4253

Entry 12:
# PBE U3Fe3Sb4, optimized geometry
# - total magnetic moment (μB per formula unit) = 0.09
# - E_form (uncorrected) (eV per atom) = -0.29
# - calculated volume (Å³/cell) = 811
data_U3Fe3Sb4
_chemical_formula_sum 'U12 Fe12 Sb16'
_cell_length_a 9.3268
_cell_length_b 9.3268
_cell_length_c 9.3268
_cell_angle_alpha 90.00
_cell_angle_beta 90.00
_cell_angle_gamma 90.00
_space_group_name_H-M_alt 'I -4 3 d'
_space_group_IT_number 220
_space_group_name_Hall 'I -4bd 2c 3'
loop_
_atom_site_label
_atom_site_type_symbol
_atom_site_fract_x
_atom_site_fract_y
_atom_site_fract_z
U1 U 0.0000 0.2500 0.3750
Fe1 Fe 0.0000 0.2500 0.8750
Sb1 Sb 0.0826 0.0826 0.0826

What did the eleventh record say?
# PBE UFeSb, optimized geometry
# - total magnetic moment (μB per formula unit) = 0.92
# - E_form (uncorrected) (eV per atom) = -0.11
# - calculated volume (Å³/cell) = 130
data_UFeSb
_chemical_formula_sum 'U2 Fe2 Sb2'
_cell_length_a 4.7918
_cell_length_b 4.7553
_cell_length_c 5.8362
_cell_angle_alpha 90.00
_cell_angle_beta 102.42
_cell_angle_gamma 90.00
_space_group_name_H-M_alt 'P 1 m 1'
_space_group_IT_number 6
loop_
_space_group_symop_operation_xyz
'x,y,z'
'x,-y,z'
loop_
_atom_site_label
_atom_site_type_symbol
_atom_site_fract_x
_atom_site_fract_y
_atom_site_fract_z
U1 U 0.0000 0.0000 0.0000
U2 U 0.4024 0.0000 0.5438
Fe1 Fe 0.4493 0.0000 0.0586
Fe2 Fe 0.8261 0.0000 0.4930
Sb1 Sb 0.5317 0.5000 0.9219
Sb2 Sb 0.9724 0.5000 0.4253

Please write out number 11 again, unchanged.
# PBE UFeSb, optimized geometry
# - total magnetic moment (μB per formula unit) = 0.92
# - E_form (uncorrected) (eV per atom) = -0.11
# - calculated volume (Å³/cell) = 130
data_UFeSb
_chemical_formula_sum 'U2 Fe2 Sb2'
_cell_length_a 4.7918
_cell_length_b 4.7553
_cell_length_c 5.8362
_cell_angle_alpha 90.00
_cell_angle_beta 102.42
_cell_angle_gamma 90.00
_space_group_name_H-M_alt 'P 1 m 1'
_space_group_IT_number 6
loop_
_space_group_symop_operation_xyz
'x,y,z'
'x,-y,z'
loop_
_atom_site_label
_atom_site_type_symbol
_atom_site_fract_x
_atom_site_fract_y
_atom_site_fract_z
U1 U 0.0000 0.0000 0.0000
U2 U 0.4024 0.0000 0.5438
Fe1 Fe 0.4493 0.0000 0.0586
Fe2 Fe 0.8261 0.0000 0.4930
Sb1 Sb 0.5317 0.5000 0.9219
Sb2 Sb 0.9724 0.5000 0.4253